The following is a PBE calculation of crystalline AcPr3Sm7 at its relaxed geometry, from Alexandria via LeMat-Bulk.

Unit cell a=6.646 b=7.853 c=7.853 alpha=80.91 beta=86.15 gamma=86.15
Fractional positions:
Pr 0.000 0.175 0.825
Pr 0.000 0.825 0.175
Pr 0.500 0.000 0.000
Sm 0.000 0.500 0.500
Sm 0.202 0.765 0.765
Sm 0.798 0.235 0.235
Sm 0.741 0.574 0.922
Sm 0.259 0.426 0.078
Sm 0.259 0.078 0.426
Sm 0.741 0.922 0.574
Ac 0.500 0.500 0.500

Output
* crystal system: monoclinic
* VASP energy: -4.477 eV/atom